1.
The following is a PBE calculation of a geometry-optimized Ac4TlHgN structure, from Alexandria via LeMat-Bulk.

Geometry as POSCAR:
```
Ac4TlHgN
1.0
3.780 -8.265 0.000
3.780 8.265 0.000
0.000 0.000 7.577
Ac Tl Hg N
8 2 2 2
Cartesian
1.890 4.133 0.000
1.890 4.133 3.789
3.780 7.076 5.683
3.780 1.369 5.683
1.890 -4.133 0.000
1.890 -4.133 3.789
3.780 -1.369 1.894
3.780 -7.076 1.894
3.780 1.970 1.894
3.780 -1.970 5.683
3.780 6.266 1.894
3.780 -6.266 5.683
3.780 3.935 5.683
3.780 -3.935 1.894
```

Results
Crystal system = orthorhombic
Uncorrected formation energy = -530 meV per atom
Space group = Cmcm (63)

2.
The following is a PBE calculation of a geometry-optimized MgInW2 structure, from Alexandria via LeMat-Bulk.

Geometry as POSCAR:
```
MgInW2
1.0
2.813 0.000 0.000
0.000 4.233 0.000
0.000 0.000 6.112
Mg In W
1 1 2
Cartesian
0.000 0.000 0.000
1.407 2.117 4.580
0.000 0.000 2.849
1.407 2.117 1.596
```

Results
Formation energy from the elements = 0.514 eV per atom
Crystal system = orthorhombic
Space group = Pmm2 (25)
Distance to the lowest polymorph of the same formula = 4.920 kcal/mol of atoms

3.
The following is a PBE calculation of a geometry-optimized Ho2InPt structure, from Alexandria via LeMat-Bulk.

Geometry as POSCAR:
```
Ho2InPt
1.0
3.866 0.000 0.000
-1.933 3.348 0.000
0.000 0.000 24.981
Ho In Pt
6 3 3
Cartesian
0.000 0.000 5.865
0.000 0.000 19.116
0.000 2.232 10.789
0.000 2.232 22.519
1.933 1.116 2.462
1.933 1.116 14.192
0.000 0.000 0.000
0.000 2.232 16.654
1.933 1.116 8.327
0.000 0.000 12.491
0.000 2.232 4.164
1.933 1.116 20.818
```

Results
Formation energy from the elements = -0.730 eV per atom
Crystal system = trigonal
Space group = R-3m (166)
Distance to the lowest polymorph of the same formula = 3.097 kcal/mol of atoms

4.
The following is a PBE calculation of a geometry-optimized MgCd2In8 structure, from Alexandria via LeMat-Bulk.

Geometry as POSCAR:
```
MgCd2In8
1.0
4.544 0.000 0.000
0.000 4.544 0.000
0.000 0.000 14.186
Mg Cd In
1 2 8
Cartesian
0.000 0.000 0.000
0.000 0.000 4.576
0.000 0.000 9.610
0.000 2.272 2.086
0.000 2.272 7.093
0.000 2.272 12.100
2.272 0.000 2.086
2.272 0.000 7.093
2.272 0.000 12.100
2.272 2.272 4.532
2.272 2.272 9.654
```

Results
Formation energy from the elements = 0.036 eV per atom
Crystal system = tetragonal
Space group = P4/mmm (123)
Distance to the lowest polymorph of the same formula = 0.000 kcal/mol of atoms

5.
The following is a PBE calculation of a geometry-optimized Ba5Mg4Zn4 structure, from Alexandria via LeMat-Bulk.

Geometry as POSCAR:
```
Ba5Mg4Zn4
1.0
-6.600 6.600 2.461
6.600 -6.600 2.461
6.600 6.600 -2.461
Ba Mg Zn
5 4 4
Cartesian
0.000 0.000 0.000
8.362 3.832 0.000
3.832 4.838 0.000
2.768 1.762 2.461
-1.762 2.768 2.461
5.729 1.302 0.000
5.298 -0.871 2.461
1.302 7.471 0.000
0.871 5.298 2.461
9.564 0.639 0.000
0.639 3.637 0.000
5.961 2.963 2.461
-2.963 5.961 2.461
```

Results
Formation energy from the elements = -0.119 eV per atom
Crystal system = tetragonal
Space group = I4/m (87)

6.
The following is a PBE calculation of a geometry-optimized SiOsCl2 structure, from Alexandria via LeMat-Bulk.

Geometry as POSCAR:
```
SiOsCl2
1.0
3.001 0.000 0.000
0.000 3.001 0.000
0.000 0.000 8.445
Si Os Cl
1 1 2
Cartesian
0.000 0.000 0.000
1.501 1.501 7.088
0.000 0.000 5.350
1.501 1.501 1.784
```

Results
Crystal system = tetragonal
Uncorrected formation energy = 339 meV per atom
Space group = P4mm (99)
Distance to the lowest polymorph of the same formula = 12.392 kcal/mol of atoms

7.
The following is a PBE calculation of a geometry-optimized CdH2F2 structure, from Alexandria via LeMat-Bulk.

Geometry as POSCAR:
```
CdH2F2
1.0
6.180 0.000 0.000
0.000 3.568 0.000
-0.921 0.000 7.072
Cd H F
2 4 4
Cartesian
0.000 0.000 0.000
3.090 1.784 0.000
-0.145 1.784 3.331
2.315 0.000 3.741
2.944 0.000 3.331
5.404 1.784 3.741
1.032 1.784 0.990
1.137 0.000 6.083
4.122 0.000 0.990
4.227 1.784 6.083
```

Results
Crystal system = monoclinic
Space group = C2/m (12)

8.
The following is a PBE calculation of a geometry-optimized RbNb3P3O15 structure, from Alexandria via LeMat-Bulk.

Geometry as POSCAR:
```
RbNb3P3O15
1.0
6.554 0.000 0.000
0.000 15.007 0.000
-6.538 0.000 13.603
Rb Nb P O
4 12 12 60
Cartesian
0.050 2.664 0.257
-3.219 4.840 7.058
3.235 10.167 6.545
-0.034 12.344 13.347
-3.267 10.876 11.006
0.002 11.635 4.204
0.002 7.875 4.886
-3.267 14.635 11.688
0.006 1.691 5.951
-3.263 5.813 12.752
3.279 9.194 0.851
0.010 13.316 7.653
3.283 0.372 1.916
0.014 7.132 8.717
0.014 3.372 9.399
3.283 4.132 2.597
0.001 9.298 1.743
-3.268 13.212 8.545
-3.266 7.580 9.632
0.003 14.931 2.830
-3.266 3.045 10.494
0.003 4.458 3.692
0.013 10.549 9.911
3.282 11.962 3.110
0.013 0.076 10.773
3.282 7.427 3.971
3.284 1.795 5.058
0.015 5.709 11.860
-4.493 3.310 9.566
-1.224 4.193 2.764
-2.052 7.782 4.869
-5.321 14.729 11.670
-2.022 1.692 5.969
-5.291 5.812 12.771
0.000 10.729 2.330
-3.269 11.781 9.132
-0.001 8.193 2.796
-3.270 14.317 9.598
-3.270 9.081 9.949
-0.001 13.429 3.147
1.254 9.195 0.839
-2.015 13.315 7.641
0.002 0.794 4.086
-3.267 6.709 10.888
-3.270 1.616 11.054
-0.001 5.887 4.252
1.229 0.275 1.940
-2.040 7.229 8.741
0.000 3.496 4.890
-3.269 4.008 11.691
0.008 9.792 4.967
-3.261 12.718 11.769
-2.034 3.308 9.573
1.235 4.196 2.771
-3.260 10.131 12.739
0.009 12.379 5.937
3.277 0.000 0.000
0.008 0.000 6.802
3.277 7.504 0.000
0.008 7.504 6.802
0.007 2.628 7.666
3.276 4.876 0.865
-1.219 10.811 10.832
2.050 11.699 4.031
3.277 2.289 1.834
0.008 5.215 8.636
3.285 11.000 1.912
0.016 11.511 8.714
2.056 7.778 4.862
-1.213 14.732 11.664
0.017 9.120 9.351
3.286 13.391 2.550
3.283 8.298 2.715
0.014 14.213 9.517
2.031 1.692 5.963
-1.238 5.812 12.764
0.017 1.578 10.456
3.286 5.926 3.654
3.286 0.690 4.005
0.017 6.814 10.807
3.285 3.226 4.472
0.016 4.278 11.273
5.307 9.195 0.833
2.038 13.315 7.634
5.337 0.278 1.933
2.068 7.225 8.735
1.240 10.814 10.839
4.509 11.697 4.038
```

Results
Crystal system = monoclinic
Uncorrected formation energy = -2429 meV per atom
Space group = P2_1/c (14)

Computed values of Fermi-level density of states (unit: states/eV/f.u.) for the preceding records, in sequence: 3.50; 2.63; 3.28; 5.62; 12.62; 3.45; 0.00; 4.62.
Computed values of total moment (unit: μB per cell) for the preceding records, in sequence: 0.00; 0.00; 0.00; 0.00; 0.00; 0.00; 0.00; 4.30.
Computed values of calculated total energy (unit: eV/atom) for the preceding records, in sequence: -4.448; -7.046; -5.214; -2.267; -1.741; -4.747; -3.565; -7.964.